## A
This record from Alexandria via LeMat-Bulk describes an optimized crystal structure of LiAlVO4. The functional is PBE with a Hubbard U.

extended XYZ file:
```
42
Lattice="8.7320 -0.0003 -0.0004 -2.6321 8.3258 -0.0004 -2.6321 -3.5925 7.5109" Properties=species:S:1:pos:R:3 pbc="T T T"
V -0.9792 1.4085 4.5900
V -3.1602 4.9031 5.4233
V 5.6276 5.5551 0.9546
V 1.6381 4.3605 1.5210
V 3.6006 -2.1762 6.7631
V 3.6640 0.1312 3.2510
Li 1.8209 0.4256 5.9174
Li 6.6555 -0.1549 2.0576
Li 4.3662 3.2899 2.9370
Li -2.1537 -0.8615 6.5706
Li -0.1723 6.9256 0.7480
Li -0.1430 4.5339 4.2351
Al 4.8208 1.7665 5.7416
Al 3.2875 1.7819 0.4063
Al -1.3745 3.0133 1.7828
Al 2.7591 5.9281 4.0708
Al 0.2314 2.9668 7.1043
Al 0.7082 -1.2176 3.4876
O 5.1949 -0.8508 3.2191
O 1.9996 3.0134 0.3447
O 6.7365 -2.3443 5.2140
O -1.5458 1.6085 2.8672
O -4.2657 2.2373 7.4068
O -1.8057 5.5933 4.4196
O 3.4190 8.1458 0.1346
O 5.8774 4.0026 1.8744
O -2.3770 0.8776 5.6261
O -3.1555 6.8782 2.2161
O -0.3125 2.9141 5.4107
O 1.5532 5.9392 0.6213
O 0.0509 3.9229 2.3151
O 3.7251 1.5574 2.1092
O 2.8728 4.6308 2.8579
O 1.6021 1.8393 7.3083
O 7.5094 2.4029 0.1121
O 5.0470 3.2756 4.8124
O 0.3623 0.1679 4.5378
O 2.0449 -1.2474 6.9527
O 2.2706 -0.9035 2.6881
O 3.5496 0.7943 4.9633
O 1.2709 5.6948 5.0313
O 0.0278 -3.3006 7.1612
```

Output
magnetization: 6.00 μB per cell
ρ: 2.72 g/cm³
SG: R3 (146)

***

## B
This record from Alexandria via LeMat-Bulk describes an optimized crystal structure of LiAlVO4. The functional is PBE with a Hubbard U.

extended XYZ file:
```
21
Lattice="-2.4590 0.4776 4.6104 -5.0373 0.1577 -2.8423 2.0285 -7.3424 -0.9062" Properties=species:S:1:pos:R:3 pbc="T T T"
O -0.3312 -3.6109 0.4210
O -3.5948 -5.6040 0.5357
O -4.1215 -0.7704 1.6215
O -1.1983 -5.6632 1.8671
O -3.9283 -5.8428 -2.1275
O -5.1456 -3.1671 0.2528
O -4.3007 -1.0831 -0.9838
O -2.7963 -3.4902 -0.7341
O -1.8960 -1.0891 0.3400
O -2.5575 -3.1531 1.7973
O -1.6236 -0.7603 2.9085
O -1.3317 -6.0365 -0.7056
Al -0.5000 -7.0477 0.6865
Al -1.9808 -4.5890 0.5459
Al -3.5081 -2.1639 0.4337
V -4.4479 -4.5128 -0.9087
V -5.0477 0.3424 0.2475
V -0.8829 -2.1398 1.6085
Li -1.1180 -2.4934 -1.3380
Li -1.8345 -4.3454 3.5493
Li -0.5359 -7.2281 -2.3142
```

Output
magnetization: 3.00 μB per cell
ρ: 3.44 g/cm³
SG: P1 (1)

***

Most favorable first, least favorable last: A, B

***

## A
This record from Alexandria via LeMat-Bulk describes an optimized crystal structure of LiAlVO4. The functional is PBE with a Hubbard U.

extended XYZ file:
```
14
Lattice="5.7609 0.0006 0.0008 2.8804 5.0668 0.0057 -2.8807 -1.6205 4.7963" Properties=species:S:1:pos:R:3 pbc="T T T"
O 1.5702 0.9410 1.1168
O 4.1905 2.5059 3.6860
O 2.8804 0.2674 3.6525
O 5.7608 3.3264 0.9722
O -0.0002 0.1205 3.8306
O 2.8802 3.1795 1.1504
O 4.1906 0.9414 1.1170
O 1.5699 2.5055 3.6858
Al 4.3206 2.5336 0.0033
Al 1.4402 2.5334 0.0029
V 2.8802 1.7236 2.4016
V 2.8804 0.0004 0.0004
Li 5.7608 3.4521 2.9525
Li -0.0003 -0.0052 1.8504
```

Output
magnetization: 2.00 μB per cell
ρ: 3.53 g/cm³
SG: C2/m (12)

***

## B
This record from Alexandria via LeMat-Bulk describes an optimized crystal structure of LiAlVO4. The functional is PBE with a Hubbard U.

extended XYZ file:
```
28
Lattice="-2.4427 0.8523 -5.2017 -3.8575 -4.1961 1.1236 -5.0489 5.5185 3.2753" Properties=species:S:1:pos:R:3 pbc="T T T"
O -6.1030 3.5088 0.1519
O -6.3226 1.3130 -1.5763
O -8.1031 -0.8578 -1.0909
O -7.8043 1.4369 0.6112
O -2.3567 0.3223 1.1364
O -4.0429 -1.7534 1.5877
O -3.4433 0.6269 -1.4798
O -1.8597 0.6703 -3.7725
O -5.0797 0.8038 0.7890
O -2.6034 -1.7867 -0.7984
O -7.1954 3.8068 -2.4624
O -5.6597 5.6707 1.8539
O -7.0760 -1.1335 1.4040
O -8.6925 4.0190 -0.0199
O -9.1032 1.9734 -1.8673
O -5.3478 -1.2230 -0.8889
Al -7.9099 1.9363 2.3561
Al -5.3044 -1.7905 -2.6155
Al -4.7014 1.6180 -2.3400
Al -4.7824 2.5856 0.9940
V -7.6077 2.7010 -1.0112
V -3.7415 -0.5264 0.2086
V -7.1395 4.9991 0.9275
V -6.7341 -0.0651 -0.0928
Li -1.8158 1.5727 -0.3595
Li -9.5336 0.6024 -0.4430
Li -7.9504 0.3661 -2.6949
Li -5.9230 4.5675 3.5297
```

Output
magnetization: 4.00 μB per cell
ρ: 3.59 g/cm³
SG: P4_322 (95)

***

Most favorable first, least favorable last: A, B

***

## A
This record from Alexandria via LeMat-Bulk describes an optimized crystal structure of LiAlVO4. The functional is PBE with a Hubbard U.

extended XYZ file:
```
28
Lattice="2.9182 0.0000 0.0000 0.0000 9.4669 0.0000 0.0000 0.0000 10.0786" Properties=species:S:1:pos:R:3 pbc="T T T"
Li 2.1887 8.6395 6.2960
Li 2.1887 3.9060 8.8219
Li 0.7296 5.5609 1.2567
Li 0.7296 0.8275 3.7826
O 0.7296 8.0212 7.6131
O 0.7296 8.5730 2.1040
O 2.1887 8.5006 9.7034
O 0.7296 3.8396 2.9353
O 2.1887 6.1792 2.5738
O 2.1887 5.6274 7.1432
O 2.1887 3.7672 5.4144
O 0.7296 1.3200 5.6503
O 2.1887 1.4457 2.4655
O 2.1887 0.8939 7.9746
O 0.7296 0.9663 0.3751
O 0.7296 3.2878 7.5047
O 2.1887 3.4135 0.6110
O 0.7296 5.6998 4.6641
O 0.7296 6.0534 9.4675
O 2.1887 8.1470 4.4283
Al 2.1887 4.7148 3.7792
Al 0.7296 4.7521 6.2994
Al 0.7296 0.0186 8.8185
Al 2.1887 9.4483 1.2601
V 0.7296 7.3252 3.4946
V 0.7296 2.5918 1.5447
V 2.1887 6.8752 8.5339
V 2.1887 2.1417 6.5840
```

Output
magnetization: 4.00 μB per cell
ρ: 3.55 g/cm³
SG: Pnma (62)

***

## B
This record from Alexandria via LeMat-Bulk describes an optimized crystal structure of LiAlVO4. The functional is PBE with a Hubbard U.

extended XYZ file:
```
21
Lattice="5.4773 0.0000 0.0000 -2.7386 4.7434 0.0000 0.0000 0.0000 12.2151" Properties=species:S:1:pos:R:3 pbc="T T T"
O 2.7742 2.9094 5.1820
O 0.0356 1.8340 11.1048
O 3.9068 0.9478 2.9614
O -1.1681 3.7956 2.9614
O -1.1326 3.8573 9.2537
O 2.7030 2.9094 11.1048
O 1.1681 3.7956 1.1103
O 1.6061 0.8862 7.0331
O 3.8712 0.8862 9.2537
O -0.0356 1.8340 5.1820
O 1.1326 3.8573 7.0331
O 1.5705 0.9478 1.1103
Li 0.0000 0.0000 10.1792
Li 0.0000 0.0000 6.1075
Li 0.0000 0.0000 2.0359
Al 2.7386 0.0000 2.0359
Al 1.3693 2.3717 6.1075
Al -1.3693 2.3717 10.1792
V -1.3693 2.3717 4.0717
V 2.7386 0.0000 8.1434
V 1.3693 2.3717 0.0000
```

Output
magnetization: 3.00 μB per cell
ρ: 2.34 g/cm³
SG: P6_222 (180)

***

## C
This record from Alexandria via LeMat-Bulk describes an optimized crystal structure of LiAlVO4. The functional is PBE with a Hubbard U.

extended XYZ file:
```
42
Lattice="8.7241 0.0015 0.0024 -2.6272 8.3191 0.0024 -2.6272 -3.5854 7.5068" Properties=species:S:1:pos:R:3 pbc="T T T"
O 0.4292 4.2914 2.3534
O 6.0978 0.3020 0.1542
O 5.2986 -1.0819 7.1725
O -1.5493 -2.4075 5.3946
O 2.3991 2.5489 0.3944
O 1.7076 -0.9618 2.9270
O 5.7225 -0.0068 4.4024
O 3.9627 1.3892 2.5507
O 0.1307 0.4914 4.8868
O -1.8288 5.8171 0.3390
O 5.0190 7.1427 2.1170
O 1.4037 -1.9190 5.6192
O -1.7306 1.6199 6.8198
O 2.0660 6.6542 1.8924
O -0.4930 3.3460 4.9608
O -2.6281 4.4332 7.3574
O 3.3390 4.2438 2.6248
O 3.0405 0.4438 5.1582
O 1.0706 2.1863 7.1171
O 5.2004 3.1153 0.6918
O -1.4316 2.0637 2.4699
O -2.2527 4.7420 3.1091
O 1.7621 5.6970 4.5845
O 4.9013 2.6716 5.0417
Al 3.6848 2.8530 1.6287
Al -0.8822 3.5857 3.2764
Al 1.6102 -0.4164 4.6480
Al -0.2151 1.8822 5.8828
Al 1.8596 5.1516 2.8635
Al 4.3519 1.1496 4.2351
Li 2.7764 1.0813 6.9845
Li 4.7277 4.4056 3.9875
Li 3.2752 -0.2843 1.8171
Li 0.1945 5.0196 5.6945
Li -1.2580 0.3296 3.5240
Li 0.6933 3.6539 0.5270
V -3.0972 2.7922 6.6879
V 3.5957 6.9448 0.9785
V 5.5387 -1.4980 5.4033
V -2.0690 6.2333 2.1082
V 6.5670 1.9430 0.8237
V -0.1259 -2.2096 6.5330
```

Output
magnetization: 6.00 μB per cell
ρ: 2.72 g/cm³
SG: R-3 (148)

***

Most favorable first, least favorable last: A, C, B